1.
DFT (PBE-GGA) results for YMo3Se after structural relaxation.

Summary:
offset from the most stable computed form = 0.0 kJ/mol of atoms
total energy = -39.2 eV for the cell shown
formation energy without anion corrections = 652 meV per atom
M_tot = 0.000 μB/atom
space-group type = Pm-3m

abc: 4.6959 4.6959 4.6959
angles: 90.00 90.00 90.00
Fractional positions:
Mo (0.0000, 0.0000, 0.5000)
Y (0.5000, 0.5000, 0.5000)
Se (0.0000, 0.0000, 0.0000)
Mo (0.5000, 0.0000, 0.0000)
Mo (0.0000, 0.5000, 0.0000)

***

2.
DFT (PBE-GGA) results for CdInGa2Cu after structural relaxation.

Summary:
offset from the most stable computed form = 0.0 kJ/mol of atoms
energy of formation from the pure elements = 0.1364 eV per atom
total energy = -13.1 eV for the cell shown
M_tot = 0.000 μB/atom
space-group type = P4/mmm

abc: 4.6981 4.6981 5.1686
angles: 90.00 90.00 90.00
Fractional positions:
Ga (0.5000, 0.0000, 0.0000)
Cd (0.0000, 0.0000, 0.5000)
In (0.5000, 0.5000, 0.5000)
Ga (0.0000, 0.5000, 0.0000)
Cu (0.0000, 0.0000, 0.0000)